HoS3Cl: relaxed, PBE.

Unit cell a=6.835 b=6.835 c=7.714 alpha=104.14 beta=104.14 gamma=102.56
Sites, in units of the cell vectors:
Ho: 0.177 0.823 0.000
Ho: 0.823 0.177 0.000
S: 0.186 0.508 0.152
S: 0.487 0.487 0.267
S: 0.492 0.814 0.848
S: 0.508 0.186 0.152
S: 0.513 0.513 0.733
S: 0.814 0.492 0.848
Cl: 0.025 0.025 0.247
Cl: 0.975 0.975 0.753

Energy relative to the lowest polymorph listed for this composition in meV per atom: 0
Total moment in Bohr magnetons per cell: 0.0